one | Computed, not measured: LuSeO3F after structural relaxation at the GGA-PBEsol level of DFT.

```
LuSeO3F
1.0
-1.6929 2.8245 -2.6681
-5.2849 -0.8528 3.5688
1.9683 5.0798 4.1288
O Lu F Se
6 2 2 2
direct
0.4504 0.3215 0.0706 O
0.5496 0.6785 0.5706 O
0.4037 0.0286 0.7500 O
0.5963 0.9714 0.2500 O
0.5496 0.6785 0.9294 O
0.4504 0.3215 0.4294 O
0.4610 0.3738 0.7500 Lu
0.5390 0.6262 0.2500 Lu
0.9607 0.3625 0.7500 F
0.0393 0.6375 0.2500 F
0.3194 0.1405 0.2500 Se
0.6806 0.8595 0.7500 Se
```

=====

two | Computed, not measured: LuSeO3F after structural relaxation at the GGA-PBEsol level of DFT.

```
LuSeO3F
1.0
6.4490 0.0000 -0.0253
0.0000 6.7279 0.0000
-1.0095 0.0000 6.8808
O F Se Lu
12 4 4 4
direct
0.1749 0.3092 0.2828 O
0.5213 0.3101 0.6355 O
0.8251 0.6908 0.7172 O
0.1722 0.5338 0.6468 O
0.4787 0.8101 0.8645 O
0.1722 0.9662 0.1468 O
0.8251 0.8092 0.2172 O
0.8278 0.4662 0.3532 O
0.8278 0.0338 0.8532 O
0.4787 0.6899 0.3645 O
0.5213 0.1899 0.1355 O
0.1749 0.1908 0.7828 O
0.1665 0.8858 0.5260 F
0.8335 0.3858 0.9740 F
0.8335 0.1142 0.4740 F
0.1665 0.6142 0.0260 F
0.3571 0.3818 0.7935 Se
0.6429 0.6182 0.2065 Se
0.3571 0.1182 0.2935 Se
0.6429 0.8818 0.7065 Se
0.8655 0.3568 0.6748 Lu
0.1345 0.8568 0.8252 Lu
0.1345 0.6432 0.3252 Lu
0.8655 0.1432 0.1748 Lu
```

=====

Most stable structure: one

=====

one | Computed, not measured: MgMoF2 after structural relaxation at the GGA-PBEsol level of DFT.

```
MgMoF2
1.0
-3.6485 -2.0989 0.9216
0.0603 -3.3240 2.7410
-1.7846 0.3927 3.9022
F Mo Mg
2 1 1
direct
0.2500 0.2500 0.2500 F
0.7500 0.7500 0.7500 F
0.5000 0.5000 0.5000 Mo
0.0000 0.0000 0.0000 Mg
```

=====

two | Computed, not measured: MgMoF2 after structural relaxation at the GGA-PBEsol level of DFT.

```
MgMoF2
1.0
2.7820 0.0000 0.0000
1.3910 2.4093 0.0000
1.3910 0.8031 9.2133
F Mg Mo
2 1 1
direct
0.1286 0.1286 0.6142 F
0.8714 0.8714 0.3858 F
0.5000 0.5000 0.5000 Mg
0.0000 0.0000 0.0000 Mo
```

=====

Most stable structure: two

=====

one | Computed, not measured: MgTeN2F after structural relaxation at the GGA-PBEsol level of DFT.

```
MgTeN2F
1.0
-3.6822 0.9052 -0.7172
0.3892 -1.2838 -3.6184
-1.6546 -5.3639 1.7251
Mg N Te F
1 2 1 1
direct
0.0000 0.0000 0.0000 Mg
0.0000 0.5000 0.0000 N
0.5000 0.0000 0.0000 N
0.0000 0.0000 0.5000 Te
0.5000 0.5000 0.5000 F
```

=====

two | Computed, not measured: MgTeN2F after structural relaxation at the GGA-PBEsol level of DFT.

```
MgTeN2F
1.0
-2.3949 -3.3290 0.2392
2.8331 -1.8720 2.3118
-1.7913 1.5358 3.4389
Mg Te N F
1 1 2 1
direct
0.5000 0.5000 0.5000 Mg
0.0000 0.0000 0.0000 Te
0.0000 0.5000 0.0000 N
0.5000 0.0000 0.0000 N
0.0000 0.0000 0.5000 F
```

=====

Most stable structure: two

=====

one | Computed, not measured: MgPdOF2 after structural relaxation at the GGA-PBEsol level of DFT.

```
MgPdOF2
1.0
3.6510 0.0000 0.0000
0.0000 3.6510 0.0000
0.0000 0.0000 4.2517
O F Mg Pd
1 2 1 1
direct
0.0000 0.0000 0.5000 O
0.0000 0.5000 0.0000 F
0.5000 0.0000 0.0000 F
0.0000 0.0000 0.0000 Mg
0.5000 0.5000 0.5000 Pd
```

=====

two | Computed, not measured: MgPdOF2 after structural relaxation at the GGA-PBEsol level of DFT.

```
MgPdOF2
1.0
-1.5280 -2.4628 2.8339
3.7216 -1.5703 0.6420
0.7078 2.8439 2.8530
Pd F O Mg
1 2 1 1
direct
0.0000 0.0000 0.0000 Pd
0.0000 0.0000 0.5000 F
0.0000 0.5000 0.0000 F
0.5000 0.0000 0.0000 O
0.5000 0.5000 0.5000 Mg
```

=====

Most stable structure: one

=====

one | Computed, not measured: Mg2PdF after structural relaxation at the GGA-PBEsol level of DFT.

```
Mg2PdF
1.0
5.4339 0.0011 0.0018
-1.9213 5.0829 -0.0018
-1.9213 -2.4279 4.4655
Mg Pd F
4 2 2
direct
0.0692 0.1942 0.6250 Mg
0.9308 0.5558 0.1250 Mg
0.4308 0.8750 0.8058 Mg
0.5692 0.3750 0.4442 Mg
0.5000 0.7500 0.2500 Pd
0.0000 0.0000 0.0000 Pd
0.5000 0.2500 0.7500 F
0.0000 0.5000 0.5000 F
```

=====

two | Computed, not measured: Mg2PdF after structural relaxation at the GGA-PBEsol level of DFT.

```
Mg2PdF
1.0
-3.8267 -1.2540 1.8884
-2.6110 -2.9748 -2.0286
-0.4159 -4.1003 1.6723
Mg F Pd
2 1 1
direct
0.2500 0.2500 0.2500 Mg
0.7500 0.7500 0.7500 Mg
0.0000 0.0000 0.0000 F
0.5000 0.5000 0.5000 Pd
```

=====

Most stable structure: one

=====

one | Computed, not measured: RbMgF3 after structural relaxation at the GGA-PBEsol level of DFT.

```
RbMgF3
1.0
5.8234 0.0000 0.0000
-2.9117 5.0432 0.0000
0.0000 0.0000 14.2227
Mg Rb F
6 6 18
direct
0.6667 0.3333 0.8474 Mg
0.0000 0.0000 0.5000 Mg
0.6667 0.3333 0.6526 Mg
0.0000 0.0000 0.0000 Mg
0.3333 0.6667 0.3474 Mg
0.3333 0.6667 0.1526 Mg
0.0000 0.0000 0.2500 Rb
0.3333 0.6667 0.5977 Rb
0.6667 0.3333 0.4023 Rb
0.3333 0.6667 0.9023 Rb
0.6667 0.3333 0.0977 Rb
0.0000 0.0000 0.7500 Rb
0.8343 0.6686 0.5799 F
0.3314 0.1657 0.5799 F
0.3314 0.1657 0.9201 F
0.1657 0.8343 0.0799 F
0.8343 0.1657 0.9201 F
0.4807 0.9614 0.2500 F
0.1657 0.8343 0.4201 F
0.6686 0.8343 0.4201 F
0.8343 0.6686 0.9201 F
0.1657 0.3314 0.0799 F
0.6686 0.8343 0.0799 F
0.5193 0.0386 0.7500 F
0.0386 0.5193 0.2500 F
0.5193 0.4807 0.7500 F
0.4807 0.5193 0.2500 F
0.9614 0.4807 0.7500 F
0.1657 0.3314 0.4201 F
0.8343 0.1657 0.5799 F
```

=====

two | Computed, not measured: RbMgF3 after structural relaxation at the GGA-PBEsol level of DFT.

```
RbMgF3
1.0
4.0598 0.0000 0.0000
0.0000 4.0598 0.0000
0.0000 0.0000 4.0598
F Rb Mg
3 1 1
direct
0.5000 0.0000 0.5000 F
0.5000 0.5000 0.0000 F
0.0000 0.5000 0.5000 F
0.0000 0.0000 0.0000 Rb
0.5000 0.5000 0.5000 Mg
```

=====

Most stable structure: two

=====

one | Computed, not measured: SrMg2F after structural relaxation at the GGA-PBEsol level of DFT.

```
SrMg2F
1.0
-4.1459 -1.3895 -3.1505
-2.1126 -4.9455 0.3517
-4.8974 -0.6922 2.1404
F Mg Sr
1 2 1
direct
0.0000 0.0000 0.0000 F
0.7500 0.7500 0.7500 Mg
0.2500 0.2500 0.2500 Mg
0.5000 0.5000 0.5000 Sr
```

=====

two | Computed, not measured: SrMg2F after structural relaxation at the GGA-PBEsol level of DFT.

```
SrMg2F
1.0
-5.1420 3.8720 -1.9537
-2.1568 -0.2339 -6.3673
-5.9525 -2.7856 -1.4346
Mg F Sr
4 2 2
direct
0.6250 0.1250 0.1250 Mg
0.1250 0.1250 0.6250 Mg
0.1250 0.1250 0.1250 Mg
0.1250 0.6250 0.1250 Mg
0.2500 0.2500 0.2500 F
0.0000 0.0000 0.0000 F
0.7500 0.7500 0.7500 Sr
0.5000 0.5000 0.5000 Sr
```

=====

Most stable structure: two

=====

one | Computed, not measured: Mn6O7F5 after structural relaxation at the GGA-PBEsol level of DFT.

```
Mn6O7F5
1.0
-1.3974 -1.1610 -4.1025
-4.5243 -2.2114 2.1669
-7.0387 13.2412 -1.1827
O F Mn
14 10 12
direct
0.2111 0.8868 0.6350 O
0.2111 0.1132 0.1350 O
0.7138 0.6212 0.0311 O
0.2869 0.3745 0.9739 O
0.2352 0.1118 0.8030 O
0.2827 0.3911 0.3140 O
0.2827 0.6089 0.8140 O
0.2869 0.6255 0.4739 O
0.2296 0.8798 0.9706 O
0.2296 0.1202 0.4706 O
0.7154 0.6174 0.6953 O
0.7154 0.3826 0.1953 O
0.2352 0.8882 0.3030 O
0.7138 0.3788 0.5311 O
0.7415 0.1224 0.6932 F
0.7676 0.6174 0.3674 F
0.7415 0.8776 0.1932 F
0.7690 0.8767 0.8603 F
0.7676 0.3826 0.8674 F
0.7745 0.8823 0.5155 F
0.2269 0.6156 0.1411 F
0.2269 0.3844 0.6411 F
0.7745 0.1177 0.0155 F
0.7690 0.1233 0.3603 F
0.9898 0.1483 0.5777 Mn
0.4970 0.6551 0.5862 Mn
0.0597 0.8561 0.4117 Mn
0.0597 0.1439 0.9117 Mn
0.4860 0.6444 0.9245 Mn
0.4908 0.3648 0.7543 Mn
0.0223 0.1701 0.2452 Mn
0.0223 0.8299 0.7452 Mn
0.4970 0.3449 0.0862 Mn
0.4908 0.6352 0.2543 Mn
0.4860 0.3556 0.4245 Mn
0.9898 0.8517 0.0777 Mn
```

=====

two | Computed, not measured: Mn6O7F5 after structural relaxation at the GGA-PBEsol level of DFT.

```
Mn6O7F5
1.0
-3.6149 -1.8695 -2.0811
0.7555 -4.1343 1.7973
-5.1366 2.1557 7.0471
F Mn O
5 6 7
direct
0.2200 0.2248 0.6638 F
0.7752 0.7800 0.3362 F
0.2927 0.7073 0.5000 F
0.8141 0.8043 0.0106 F
0.1957 0.1859 0.9894 F
0.0136 0.0032 0.1756 Mn
0.9763 0.0237 0.5000 Mn
0.9968 0.9864 0.8244 Mn
0.4804 0.4665 0.3253 Mn
0.5050 0.4950 0.0000 Mn
0.5335 0.5196 0.6747 Mn
0.1831 0.1880 0.3382 O
0.3215 0.7028 0.8330 O
0.8120 0.8169 0.6618 O
0.7123 0.3106 0.8334 O
0.6812 0.3188 0.5000 O
0.6894 0.2877 0.1666 O
0.2972 0.6785 0.1670 O
```

=====

three | Computed, not measured: Mn6O7F5 after structural relaxation at the GGA-PBEsol level of DFT.

```
Mn6O7F5
1.0
4.6754 -0.0518 0.0000
-0.6072 4.6361 0.0000
0.0000 0.0000 8.7132
Mn O F
6 7 5
direct
0.9904 0.0096 0.6589 Mn
0.5310 0.4690 0.5000 Mn
0.9904 0.0096 0.3411 Mn
0.4956 0.5044 0.8326 Mn
0.4956 0.5044 0.1674 Mn
0.9988 0.0012 0.0000 Mn
0.6930 0.7031 0.0000 O
0.7005 0.6926 0.6641 O
0.2969 0.3070 0.0000 O
0.3074 0.2995 0.6641 O
0.3074 0.2995 0.3359 O
0.7005 0.6926 0.3359 O
0.8221 0.1779 0.5000 O
0.1896 0.8104 0.5000 F
0.8049 0.1951 0.8245 F
0.8049 0.1951 0.1755 F
0.1854 0.8146 0.8214 F
0.1854 0.8146 0.1786 F
```

=====

Most stable structure: three